Compound: VIrI2
Source: the Alexandria database
Functional: PBE-GGA
Structure: relaxed

a = 4.906 Å, b = 4.906 Å, c = 4.906 Å
α = 60.00°, β = 60.00°, γ = 60.00°
Atoms (fractional coordinates):
V1 0.000 0.000 0.000
Ir1 0.500 0.500 0.500
I1 0.250 0.250 0.250
I2 0.750 0.750 0.750

Computed properties:
Energy relative to the elements, uncorrected (eV/atom): 0.947
Crystal system: cubic
Offset from the most stable computed form (eV per atom): 0.229